(1)
VASP calculation (GGA-PBE) on AcHg2SbO6 after structural relaxation.

Output
- theoretical density (g/cm³) = 8.8
- raw formation energy (kJ per mole of atoms) = -144
- magnetization (μB per formula unit) = 0.0

a b c (Å): 5.8043 5.8043 16.4635
angles (deg): 90.00 90.00 120.00
Space group R-3 (No. 148, hexagonal axes)
Unique sites:
Ac: 0.0000 0.0000 0.0000 x3
Hg: 0.0000 0.0000 0.2227 x6
Sb: 0.0000 0.0000 0.5000 x3
O: 0.0313 0.6324 0.2374 x18

=====

(2)
VASP calculation (GGA-PBE) on Ac2ScHgO6 after structural relaxation.

Output
- theoretical density (g/cm³) = 7.9
- raw formation energy (kJ per mole of atoms) = -234
- magnetization (μB per formula unit) = 1.0

a b c (Å): 5.722 5.722 5.105
angles (deg): 90.00 90.00 90.00
Space group P4mm (No. 99)
Unique sites:
Ac: 0.000 0.500 0.000 x2
Sc: 0.000 0.000 0.562 x1
Hg: 0.500 0.500 0.572 x1
O: 0.000 0.000 0.177 x1
O: 0.237 0.237 0.711 x4
O: 0.500 0.500 0.133 x1

=====

(3)
VASP calculation (GGA-PBE) on AcHgSeO5 after structural relaxation.

Output
- theoretical density (g/cm³) = 5.8
- raw formation energy (kJ per mole of atoms) = -134
- magnetization (μB per formula unit) = 1.0

a b c (Å): 8.380 10.242 8.791
angles (deg): 90.00 116.72 90.00
Space group C2/c (No. 15)
Unique sites:
Ac: 0.250 0.250 0.000 x4
Hg: 0.000 0.053 0.250 x4
Se: 0.000 0.429 0.250 x4
O: 0.000 0.164 0.750 x4
O: 0.035 0.334 0.114 x8
O: 0.179 0.476 0.857 x8

=====

(4)
VASP calculation (GGA-PBE) on Ac2HgSeO6 after structural relaxation.

Output
- theoretical density (g/cm³) = 8.0
- raw formation energy (kJ per mole of atoms) = -176
- magnetization (μB per formula unit) = 0.0

a b c (Å): 5.341 5.341 6.029
angles (deg): 90.00 90.00 90.00
Space group P4mm (No. 99)
Unique sites:
Ac: 0.000 0.500 0.000 x2
Hg: 0.000 0.000 0.492 x1
Se: 0.500 0.500 0.617 x1
O: 0.000 0.000 0.128 x1
O: 0.263 0.263 0.717 x4
O: 0.500 0.500 0.099 x1

=====

(5)
VASP calculation (GGA-PBE) on AcHgSeO4 after structural relaxation.

Output
- theoretical density (g/cm³) = 8.4
- raw formation energy (kJ per mole of atoms) = -130
- magnetization (μB per formula unit) = 0.6

a b c (Å): 5.564 8.890 9.111
angles (deg): 90.00 90.00 90.00
Space group Imma (No. 74)
Unique sites:
Ac: 0.000 0.000 0.000 x4
Hg: 0.250 0.250 0.250 x4
Se: 0.000 0.250 0.660 x4
O: 0.000 0.041 0.696 x8
O: 0.249 0.250 0.959 x8

=====

(6)
VASP calculation (GGA-PBE) on AcHg2SeO6 after structural relaxation.

Output
- theoretical density (g/cm³) = 8.7
- raw formation energy (kJ per mole of atoms) = -104
- magnetization (μB per formula unit) = 0.0

a b c (Å): 5.7540 5.7540 16.1027
angles (deg): 90.00 90.00 120.00
Space group R-3 (No. 148, hexagonal axes)
Unique sites:
Ac: 0.0000 0.0000 0.0000 x3
Hg: 0.0000 0.0000 0.2265 x6
Se: 0.0000 0.0000 0.5000 x3
O: 0.0344 0.2943 0.5701 x18

=====

(7)
VASP calculation (GGA-PBE) on Ac2HgSeO8 after structural relaxation.

Output
- theoretical density (g/cm³) = 8.1
- raw formation energy (kJ per mole of atoms) = -129
- magnetization (μB per formula unit) = 2.0

a b c (Å): 5.5557 5.5557 6.5870
angles (deg): 90.00 90.00 120.00
Space group P-3m1 (No. 164)
Unique sites:
Ac: 0.3333 0.6667 0.3303 x2
Hg: 0.0000 0.0000 0.0000 x1
Se: 0.0000 0.0000 0.5000 x1
O: 0.1552 0.3104 0.6593 x6
O: 0.3333 0.6667 0.9975 x2

=====

(8)
VASP calculation (GGA-PBE) on Ac2HgSe2O2 after structural relaxation.

Output
- theoretical density (g/cm³) = 7.2
- raw formation energy (kJ per mole of atoms) = -205
- magnetization (μB per formula unit) = 0.0

a b c (Å): 4.3325 4.3325 12.0105
angles (deg): 90.00 90.00 120.00
Space group P-3m1 (No. 164)
Unique sites:
Ac: 0.3333 0.6667 0.1307 x2
Hg: 0.0000 0.0000 0.5000 x1
Se: 0.0000 0.0000 0.2964 x2
O: 0.3333 0.6667 0.9242 x2

=====

(9)
VASP calculation (GGA-PBE) on AcHgSe2O8 after structural relaxation.

Output
- theoretical density (g/cm³) = 4.9
- raw formation energy (kJ per mole of atoms) = -114
- magnetization (μB per formula unit) = 0.4

a b c (Å): 9.495 6.188 8.334
angles (deg): 90.00 95.27 90.00
Space group C2/m (No. 12)
Unique sites:
Ac: 0.000 0.000 0.000 x2
Hg: 0.000 0.000 0.500 x2
Se: 0.155 0.500 0.246 x4
O: 0.051 0.279 0.218 x8
O: 0.237 0.000 0.903 x4
O: 0.241 0.500 0.428 x4

=====

(10)
VASP calculation (GGA-PBE) on Ac2Sm4Hg3O2 after structural relaxation.

Output
- theoretical density (g/cm³) = 9.3
- raw formation energy (kJ per mole of atoms) = -121
- magnetization (μB per formula unit) = 0.0

a b c (Å): 4.962 4.962 24.387
angles (deg): 90.00 90.00 90.00
Space group I4/mmm (No. 139)
Unique sites:
Ac: 0.000 0.000 0.200 x4
Sm: 0.000 0.500 0.081 x8
Hg: 0.000 0.000 0.335 x4
Hg: 0.000 0.000 0.500 x2
O: 0.000 0.000 0.098 x4

=====

(11)
VASP calculation (GGA-PBE) on AcSnHgO after structural relaxation.

Output
- theoretical density (g/cm³) = 8.9
- raw formation energy (kJ per mole of atoms) = -153
- magnetization (μB per formula unit) = 0.0

a b c (Å): 4.302 4.302 11.342
angles (deg): 90.00 90.00 90.00
Space group P4/nmm (No. 129, origin choice 2)
Unique sites:
Ac: 0.250 0.250 0.110 x2
Sn: 0.250 0.750 0.500 x2
Hg: 0.250 0.250 0.718 x2
O: 0.250 0.750 0.000 x2

=====

(12)
VASP calculation (GGA-PBE) on SrAc2HgO5 after structural relaxation.

Output
- theoretical density (g/cm³) = 8.4
- raw formation energy (kJ per mole of atoms) = -224
- magnetization (μB per formula unit) = 0.0

a b c (Å): 7.127 7.127 6.403
angles (deg): 90.00 90.00 90.00
Space group P4/mbm (No. 127)
Unique sites:
Sr: 0.000 0.000 0.000 x2
Ac: 0.172 0.328 0.500 x4
Hg: 0.000 0.500 0.000 x2
O: 0.000 0.000 0.500 x2
O: 0.157 0.657 0.248 x8

=====

Among the records above, which one has the lowest raw formation energy? Ac2ScHgO6

=====

Which formula does entry 11 have? AcSnHgO

=====

Among the records above, which one has the lowest raw formation energy? Ac2ScHgO6